The following is a GGA-PBE calculation of Na3Ti4O9 after structural relaxation, from Alexandria.

Unit cell a=5.3785 b=5.3785 c=22.3149 alpha=90.00 beta=90.00 gamma=120.00
Closest atoms and distances in Å follow each position.
Space group R3 (No. 146, hexagonal axes)
Inequivalent atoms, fractional coordinates:
1 Na 0.0000 0.0000 0.0000 x3  6 O 2.46-2.50
2 Na 0.0000 0.0000 0.1638 x3  6 O 2.47-2.50
3 Na 0.0000 0.0000 0.5807 x3  3 O 2.39
4 Ti 0.0000 0.0000 0.2955 x3  6 O 1.90-2.09
5 Ti 0.0000 0.0000 0.4239 x3  6 O 1.94-2.10
6 Ti 0.0000 0.0000 0.7399 x3  6 O 1.94-2.10
7 Ti 0.0000 0.0000 0.8683 x3  6 O 1.90-2.08
8 O 0.0000 0.4450 0.5819 x9  2 Ti 1.90
9 O 0.0109 0.5533 0.0260 x9  3 Ti 1.94-2.10
10 O 0.1240 0.7800 0.4713 x9  3 Ti 1.94-2.10

Summary:
Total DFT energy (no corrections)   -368.67 eV for the cell shown
Fermi-level density of states   16.6 states/eV per cell
Raw formation energy   -2.6705 eV/atom